ReGeS2N | PBEsol | optimized geometry

Total DFT energy (no corrections) = -29.01 eV per cell
Raw formation energy = 1.31 eV per atom
Space group = P4/mmm

a b c (Å): 4.7355 4.7355 3.3920
angles (deg): 90.00 90.00 90.00
Last column: nearest neighbours and their distance in Å.
Fractional positions:
Re 0.0000 0.0000 0.0000  8 S 2.91
Ge 0.5000 0.5000 0.5000  2 N 1.70
S 0.0000 0.5000 0.5000  2 Ge 2.37
S 0.5000 0.0000 0.5000  2 Ge 2.37
N 0.5000 0.5000 0.0000  2 Ge 1.70

ReGeSN2 | PBEsol | optimized geometry

Total DFT energy (no corrections) = -37.92 eV per cell
Offset from the most stable computed form = 0.0 kJ/mol of formula units
Raw formation energy = 0.36 eV per atom
Space group = P4/mmm

a b c (Å): 3.8281 3.8281 4.9615
angles (deg): 90.00 90.00 90.00
Last column: nearest neighbours and their distance in Å.
Fractional positions:
Re 0.0000 0.0000 0.0000  4 N 1.91
Ge 0.5000 0.5000 0.5000  4 S 2.71
S 0.0000 0.0000 0.5000  2 Re 2.48, 4 Ge 2.71
N 0.0000 0.5000 0.0000  2 Re 1.91
N 0.5000 0.0000 0.0000  2 Re 1.91

Ge3RhN | PBEsol | optimized geometry

Total DFT energy (no corrections) = -26.24 eV per cell
Raw formation energy = 1.05 eV per atom
Space group = Pm-3m

a b c (Å): 4.6149 4.6149 4.6149
angles (deg): 90.00 90.00 90.00
Last column: nearest neighbours and their distance in Å.
Fractional positions:
Ge 0.0000 0.0000 0.5000  2 Rh 2.31
Ge 0.0000 0.5000 0.0000  2 Rh 2.31
Ge 0.5000 0.0000 0.0000  2 Rh 2.31
Rh 0.0000 0.0000 0.0000  6 Ge 2.31
N 0.5000 0.5000 0.5000  12 Ge 3.26

GeRh2SN | PBEsol | optimized geometry

Total DFT energy (no corrections) = -30.66 eV per cell
Raw formation energy = 0.69 eV per atom
Space group = P4/mmm

a b c (Å): 4.5399 4.5399 3.3248
angles (deg): 90.00 90.00 90.00
Last column: nearest neighbours and their distance in Å.
Fractional positions:
Ge 0.0000 0.0000 0.0000  8 Rh 2.81
Rh 0.0000 0.5000 0.5000  2 S 2.27
Rh 0.5000 0.0000 0.5000  2 S 2.27
S 0.5000 0.5000 0.5000  2 N 1.66
N 0.5000 0.5000 0.0000  2 S 1.66

GeRhSeN2 | PBEsol | optimized geometry

Total DFT energy (no corrections) = -27.68 eV per cell
Raw formation energy = 1.26 eV per atom
Space group = P4/mmm

a b c (Å): 3.5757 3.5757 6.1789
angles (deg): 90.00 90.00 90.00
Last column: nearest neighbours and their distance in Å.
Fractional positions:
Ge 0.0000 0.0000 0.0000  4 N 1.79
Rh 0.5000 0.5000 0.5000  4 Se 2.53
Se 0.0000 0.0000 0.5000  4 Rh 2.53
N 0.0000 0.5000 0.0000  2 Ge 1.79
N 0.5000 0.0000 0.0000  2 Ge 1.79

GeRhSe2N | PBEsol | optimized geometry

Total DFT energy (no corrections) = -27.64 eV per cell
Raw formation energy = 0.33 eV per atom
Space group = P4/mmm

a b c (Å): 5.0581 5.0581 3.5933
angles (deg): 90.00 90.00 90.00
Last column: nearest neighbours and their distance in Å.
Fractional positions:
Ge 0.0000 0.0000 0.0000  8 Se 3.10
Rh 0.5000 0.5000 0.5000  2 N 1.80
Se 0.0000 0.5000 0.5000  2 Rh 2.53
Se 0.5000 0.0000 0.5000  2 Rh 2.53
N 0.5000 0.5000 0.0000  2 Rh 1.80

GeRuSe2N | PBEsol | optimized geometry

Total DFT energy (no corrections) = -29.88 eV per cell
Raw formation energy = 0.29 eV per atom
Space group = P4/mmm

a b c (Å): 5.0231 5.0231 3.6067
angles (deg): 90.00 90.00 90.00
Last column: nearest neighbours and their distance in Å.
Fractional positions:
Ge 0.0000 0.0000 0.0000  8 Se 3.09
Ru 0.5000 0.5000 0.5000  2 N 1.80
Se 0.0000 0.5000 0.5000  2 Ru 2.51
Se 0.5000 0.0000 0.5000  2 Ru 2.51
N 0.5000 0.5000 0.0000  2 Ru 1.80

GeSN2 | PBEsol | optimized geometry

Total DFT energy (no corrections) = -91.82 eV per cell
Raw formation energy = 0.86 eV per atom
Space group = I-42d

a b c (Å): 5.1551 5.1551 7.3070
angles (deg): 90.00 90.00 90.00
Last column: nearest neighbours and their distance in Å.
Fractional positions:
Ge 0.0000 0.0000 0.0000  4 N 1.87
Ge 0.0000 0.5000 0.2500  4 N 1.87
Ge 0.5000 0.0000 0.7500  4 N 1.87
Ge 0.5000 0.5000 0.5000  4 N 1.87
S 0.0000 0.0000 0.5000  4 N 2.23
S 0.0000 0.5000 0.7500  4 N 2.23
S 0.5000 0.0000 0.2500  4 N 2.23
S 0.5000 0.5000 0.0000  4 N 2.23
N 0.1954 0.7500 0.1250  2 Ge 1.87
N 0.2500 0.1954 0.8750  2 Ge 1.87
N 0.2500 0.3046 0.3750  2 Ge 1.87
N 0.3046 0.7500 0.6250  2 Ge 1.87
N 0.6954 0.2500 0.6250  2 Ge 1.87
N 0.7500 0.6954 0.3750  2 Ge 1.87
N 0.7500 0.8046 0.8750  2 Ge 1.87
N 0.8046 0.2500 0.1250  2 Ge 1.87

Ge2SN | PBEsol | optimized geometry

Total DFT energy (no corrections) = -77.78 eV per cell
Raw formation energy = 0.84 eV per atom
Space group = Fm-3m

a b c (Å): 6.0386 6.0386 6.0386
angles (deg): 90.00 90.00 90.00
Last column: nearest neighbours and their distance in Å.
Fractional positions:
Ge 0.2500 0.2500 0.2500  4 N 2.61, 4 S 2.61
Ge 0.2500 0.2500 0.7500  4 S 2.61, 4 N 2.61
Ge 0.2500 0.7500 0.2500  4 S 2.61, 4 N 2.61
Ge 0.2500 0.7500 0.7500  4 S 2.61, 4 N 2.61
Ge 0.7500 0.2500 0.2500  4 S 2.61, 4 N 2.61
Ge 0.7500 0.2500 0.7500  4 S 2.61, 4 N 2.61
Ge 0.7500 0.7500 0.2500  4 S 2.61, 4 N 2.61
Ge 0.7500 0.7500 0.7500  4 S 2.61, 4 N 2.61
S 0.0000 0.0000 0.0000  8 Ge 2.61
S 0.0000 0.5000 0.5000  8 Ge 2.61
S 0.5000 0.0000 0.5000  8 Ge 2.61
S 0.5000 0.5000 0.0000  8 Ge 2.61
N 0.0000 0.0000 0.5000  8 Ge 2.61
N 0.0000 0.5000 0.0000  8 Ge 2.61
N 0.5000 0.0000 0.0000  8 Ge 2.61
N 0.5000 0.5000 0.5000  8 Ge 2.61

ScGeS2N | PBEsol | optimized geometry

Total DFT energy (no corrections) = -23.50 eV per cell
Raw formation energy = 1.07 eV per atom
Space group = P4/mmm

a b c (Å): 4.4660 4.4660 5.2858
angles (deg): 90.00 90.00 90.00
Last column: nearest neighbours and their distance in Å.
Fractional positions:
Sc 0.0000 0.0000 0.0000  2 Ge 2.64
Ge 0.0000 0.0000 0.5000  4 S 2.23
S 0.0000 0.5000 0.5000  2 Ge 2.23
S 0.5000 0.0000 0.5000  2 Ge 2.23
N 0.5000 0.5000 0.0000  4 Sc 3.16, 8 S 3.46

GeSeS2N | PBEsol | optimized geometry

Total DFT energy (no corrections) = -21.79 eV per cell
Raw formation energy = 0.86 eV per atom
Space group = P4/mmm

a b c (Å): 4.8494 4.8494 3.6851
angles (deg): 90.00 90.00 90.00
Last column: nearest neighbours and their distance in Å.
Fractional positions:
Ge 0.0000 0.0000 0.0000  8 S 3.05
Se 0.5000 0.5000 0.5000  2 N 1.84
S 0.0000 0.5000 0.5000  2 Se 2.42
S 0.5000 0.0000 0.5000  2 Se 2.42
N 0.5000 0.5000 0.0000  2 Se 1.84

SiGeS2N | PBEsol | optimized geometry

Total DFT energy (no corrections) = -24.54 eV per cell
Raw formation energy = 0.69 eV per atom
Space group = P4/mmm

a b c (Å): 4.7426 4.7426 3.5980
angles (deg): 90.00 90.00 90.00
Last column: nearest neighbours and their distance in Å.
Fractional positions:
Si 0.0000 0.0000 0.0000  8 S 2.98
Ge 0.5000 0.5000 0.5000  2 N 1.80
S 0.0000 0.5000 0.5000  2 Ge 2.37
S 0.5000 0.0000 0.5000  2 Ge 2.37
N 0.5000 0.5000 0.0000  2 Ge 1.80